(1)
This record from the Alexandria database describes an optimized crystal structure of SeIN. The functional is PBE-GGA.

magnetization	0.000	μB per atom
DOS(E_F)	0.3691	states/eV per atom
energy relative to the elements, uncorrected	193	meV per atom
uncorrected energy	-51.1	eV/cell
excess energy over the best structure of this formula in the dataset	0.0	kJ/mol of atoms

CIF file:
```
data_SeIN
_cell_length_a 12.876
_cell_length_b 4.125
_cell_length_c 8.185
_cell_angle_alpha 90.00
_cell_angle_beta 92.41
_cell_angle_gamma 90.00
_space_group_name_H-M_alt 'P 1 21/c 1'
_space_group_IT_number 14
loop_
_space_group_symop_operation_xyz
'x,y,z'
'-x,-y,-z'
'-x,y+1/2,-z+1/2'
'x,-y+1/2,z+1/2'
loop_
_atom_site_label
_atom_site_type_symbol
_atom_site_fract_x
_atom_site_fract_y
_atom_site_fract_z
Se1 Se 0.177 0.250 0.370
I1 I 0.177 0.750 0.120
N1 N 0.481 0.579 0.453
```

***

(2)
This record from the Alexandria database describes an optimized crystal structure of SiSe2IN. The functional is PBE-GGA.

magnetization	0.000	μB per atom
DOS(E_F)	0.6205	states/eV per atom
energy relative to the elements, uncorrected	972	meV per atom
uncorrected energy	-17.4	eV/cell
excess energy over the best structure of this formula in the dataset	51.2	kJ/mol of atoms

CIF file:
```
data_SiSe2IN
_cell_length_a 5.355
_cell_length_b 5.355
_cell_length_c 3.585
_cell_angle_alpha 90.00
_cell_angle_beta 90.00
_cell_angle_gamma 90.00
_space_group_name_H-M_alt 'P 4/m m m'
_space_group_IT_number 123
_space_group_name_Hall '-P 4 2'
loop_
_atom_site_label
_atom_site_type_symbol
_atom_site_fract_x
_atom_site_fract_y
_atom_site_fract_z
Si1 Si 0.000 0.000 0.000
Se1 Se 0.000 0.500 0.500
I1 I 0.500 0.500 0.000
N1 N 0.000 0.000 0.500
```

***

(3)
This record from the Alexandria database describes an optimized crystal structure of SiSe2IN. The functional is PBE-GGA.

magnetization	0.000	μB per atom
DOS(E_F)	0.4495	states/eV per atom
energy relative to the elements, uncorrected	441	meV per atom
uncorrected energy	-20.1	eV/cell
excess energy over the best structure of this formula in the dataset	0.0	kJ/mol of atoms

CIF file:
```
data_SiSe2IN
_cell_length_a 5.395
_cell_length_b 5.395
_cell_length_c 3.333
_cell_angle_alpha 90.00
_cell_angle_beta 90.00
_cell_angle_gamma 90.00
_space_group_name_H-M_alt 'P 4/m m m'
_space_group_IT_number 123
_space_group_name_Hall '-P 4 2'
loop_
_atom_site_label
_atom_site_type_symbol
_atom_site_fract_x
_atom_site_fract_y
_atom_site_fract_z
Si1 Si 0.000 0.000 0.000
Se1 Se 0.000 0.500 0.000
I1 I 0.500 0.500 0.500
N1 N 0.000 0.000 0.500
```

***

(4)
This record from the Alexandria database describes an optimized crystal structure of SiSeI2N. The functional is PBE-GGA.

magnetization	0.000	μB per atom
DOS(E_F)	1.1203	states/eV per atom
energy relative to the elements, uncorrected	467	meV per atom
uncorrected energy	-18.0	eV/cell
excess energy over the best structure of this formula in the dataset	0.0	kJ/mol of atoms

CIF file:
```
data_SiSeI2N
_cell_length_a 6.053
_cell_length_b 6.053
_cell_length_c 3.246
_cell_angle_alpha 90.00
_cell_angle_beta 90.00
_cell_angle_gamma 90.00
_space_group_name_H-M_alt 'P 4/m m m'
_space_group_IT_number 123
_space_group_name_Hall '-P 4 2'
loop_
_atom_site_label
_atom_site_type_symbol
_atom_site_fract_x
_atom_site_fract_y
_atom_site_fract_z
Si1 Si 0.000 0.000 0.000
Se1 Se 0.500 0.500 0.500
I1 I 0.000 0.500 0.000
N1 N 0.000 0.000 0.500
```

***

(5)
This record from the Alexandria database describes an optimized crystal structure of SiSeI2N. The functional is PBE-GGA.

magnetization	0.000	μB per atom
DOS(E_F)	0.5485	states/eV per atom
energy relative to the elements, uncorrected	1103	meV per atom
uncorrected energy	-14.8	eV/cell
excess energy over the best structure of this formula in the dataset	61.3	kJ/mol of atoms

CIF file:
```
data_SiSeI2N
_cell_length_a 5.993
_cell_length_b 5.993
_cell_length_c 3.720
_cell_angle_alpha 90.00
_cell_angle_beta 90.00
_cell_angle_gamma 90.00
_space_group_name_H-M_alt 'P 4/m m m'
_space_group_IT_number 123
_space_group_name_Hall '-P 4 2'
loop_
_atom_site_label
_atom_site_type_symbol
_atom_site_fract_x
_atom_site_fract_y
_atom_site_fract_z
Si1 Si 0.000 0.000 0.000
Se1 Se 0.500 0.500 0.500
I1 I 0.000 0.500 0.500
N1 N 0.500 0.500 0.000
```

***

(6)
This record from the Alexandria database describes an optimized crystal structure of SiSe2IN. The functional is PBE-GGA.

magnetization	0.000	μB per atom
DOS(E_F)	0.6422	states/eV per atom
energy relative to the elements, uncorrected	1413	meV per atom
uncorrected energy	-15.2	eV/cell
excess energy over the best structure of this formula in the dataset	93.7	kJ/mol of atoms

CIF file:
```
data_SiSe2IN
_cell_length_a 5.483
_cell_length_b 5.483
_cell_length_c 3.936
_cell_angle_alpha 90.00
_cell_angle_beta 90.00
_cell_angle_gamma 90.00
_space_group_name_H-M_alt 'P 4/m m m'
_space_group_IT_number 123
_space_group_name_Hall '-P 4 2'
loop_
_atom_site_label
_atom_site_type_symbol
_atom_site_fract_x
_atom_site_fract_y
_atom_site_fract_z
Si1 Si 0.000 0.000 0.000
Se1 Se 0.000 0.500 0.500
I1 I 0.500 0.500 0.500
N1 N 0.500 0.500 0.000
```

***

(7)
This record from the Alexandria database describes an optimized crystal structure of SnSeIN2. The functional is PBE-GGA.

magnetization	0.000	μB per atom
DOS(E_F)	0.4963	states/eV per atom
energy relative to the elements, uncorrected	1549	meV per atom
uncorrected energy	-17.9	eV/cell
excess energy over the best structure of this formula in the dataset	26.6	kJ/mol of atoms

CIF file:
```
data_SnSeIN2
_cell_length_a 4.163
_cell_length_b 4.163
_cell_length_c 5.666
_cell_angle_alpha 90.00
_cell_angle_beta 90.00
_cell_angle_gamma 90.00
_space_group_name_H-M_alt 'P 4/m m m'
_space_group_IT_number 123
_space_group_name_Hall '-P 4 2'
loop_
_atom_site_label
_atom_site_type_symbol
_atom_site_fract_x
_atom_site_fract_y
_atom_site_fract_z
Sn1 Sn 0.000 0.000 0.000
Se1 Se 0.500 0.500 0.000
I1 I 0.500 0.500 0.500
N1 N 0.000 0.500 0.500
```

***

(8)
This record from the Alexandria database describes an optimized crystal structure of SnSeIN2. The functional is PBE-GGA.

magnetization	0.535	μB per atom
DOS(E_F)	0.5017	states/eV per atom
energy relative to the elements, uncorrected	1272	meV per atom
uncorrected energy	-19.3	eV/cell
excess energy over the best structure of this formula in the dataset	0.0	kJ/mol of atoms

CIF file:
```
data_SnSeIN2
_cell_length_a 4.233
_cell_length_b 4.233
_cell_length_c 5.969
_cell_angle_alpha 90.00
_cell_angle_beta 90.00
_cell_angle_gamma 90.00
_space_group_name_H-M_alt 'P 4/m m m'
_space_group_IT_number 123
_space_group_name_Hall '-P 4 2'
loop_
_atom_site_label
_atom_site_type_symbol
_atom_site_fract_x
_atom_site_fract_y
_atom_site_fract_z
Sn1 Sn 0.000 0.000 0.000
Se1 Se 0.000 0.000 0.500
I1 I 0.500 0.500 0.500
N1 N 0.000 0.500 0.000
```

***

Please write out number 7 again, unchanged.
This record from the Alexandria database describes an optimized crystal structure of SnSeIN2. The functional is PBE-GGA.

magnetization	0.000	μB per atom
DOS(E_F)	0.4963	states/eV per atom
energy relative to the elements, uncorrected	1549	meV per atom
uncorrected energy	-17.9	eV/cell
excess energy over the best structure of this formula in the dataset	26.6	kJ/mol of atoms

CIF file:
```
data_SnSeIN2
_cell_length_a 4.163
_cell_length_b 4.163
_cell_length_c 5.666
_cell_angle_alpha 90.00
_cell_angle_beta 90.00
_cell_angle_gamma 90.00
_space_group_name_H-M_alt 'P 4/m m m'
_space_group_IT_number 123
_space_group_name_Hall '-P 4 2'
loop_
_atom_site_label
_atom_site_type_symbol
_atom_site_fract_x
_atom_site_fract_y
_atom_site_fract_z
Sn1 Sn 0.000 0.000 0.000
Se1 Se 0.500 0.500 0.000
I1 I 0.500 0.500 0.500
N1 N 0.000 0.500 0.500
```